No. 1
Here is a relaxed Er3AlTe2 crystal from the Alexandria database. Energies are from PBE.

## Properties
Calculated total energy ... -29.298 eV/f.u.
Mass density ... 7.7 g/cm³
SG ... No. 71

Cell lengths 4.139, 6.077, 7.632 Å; angles 113.46, 105.73, 90.00 degrees
Positions (direct):
Er  0.343  0.343  0.686
Er  0.657  0.657  0.314
Er  0.000  0.000  0.000
Te  0.672  0.172  0.343
Te  0.328  0.828  0.657
Al  0.000  0.500  0.000

---

No. 2
Here is a relaxed PuGa2Sb2 crystal from the Alexandria database. Energies are from PBE.

## Properties
Calculated total energy ... -30.065 eV/f.u.
Mass density ... 9.1 g/cm³
SG ... No. 63

Cell lengths 4.600, 4.381, 11.617 Å; angles 90.00, 101.42, 90.00 degrees
Positions (direct):
Sb  0.870  0.750  0.740
Sb  0.130  0.250  0.260
Sb  0.751  0.250  0.502
Sb  0.249  0.750  0.498
Pu  0.360  0.250  0.720
Pu  0.640  0.750  0.280
Ga  0.466  0.750  0.932
Ga  0.040  0.750  0.080
Ga  0.960  0.250  0.920
Ga  0.534  0.250  0.068

---

No. 3
Here is a relaxed VIn2W crystal from the Alexandria database. Energies are from PBE.

## Properties
Mass density ... 9.7 g/cm³
SG ... No. 122
Relative energy among the computed polymorphs ... 0.371 eV/atom

Cell lengths 7.496, 7.496, 6.005 Å; angles 51.38, 51.38, 90.00 degrees
Positions (direct):
In  0.131  0.625  0.250
In  0.619  0.125  0.250
In  0.875  0.869  0.750
In  0.375  0.381  0.750
W  0.000  0.000  0.000
W  0.750  0.250  0.500
V  0.250  0.750  0.500
V  0.500  0.500  0.000